Run a
LiAl2Au5: relaxed, PBE-GGA.

Cell: 3.2153 7.0255 7.0255 Å, 69.41 76.77 76.77°
Last column: nearest neighbours and their distance in Å.
Fractional coordinates of all 8 atoms:
Li  0.0000  0.0000  0.0000  8 Au 2.98, 2 Li 3.22, 4 Al 3.33
Al  0.7629  0.7371  0.7371  7 Au 2.51-2.80
Al  0.2371  0.2629  0.2629  7 Au 2.51-2.80
Au  0.0000  0.5000  0.5000  2 Al 2.63, 8 Au 2.92
Au  0.6311  0.6141  0.1237  3 Al 2.51-2.80
Au  0.3689  0.3859  0.8763  3 Al 2.51-2.80
Au  0.3689  0.8763  0.3859  3 Al 2.51-2.80
Au  0.6311  0.1237  0.6141  3 Al 2.51-2.80

The value obtained for the volume is 17.8 A^3/atom.

***

Run b
LiAl2Au5: relaxed, PBE-GGA.

Cell: 5.5267 5.9367 10.3926 Å, 102.10 63.24 117.74°
Last column: nearest neighbours and their distance in Å.
Fractional coordinates of all 16 atoms:
Li  0.7609  0.5219  0.7500  10 Au 2.73-3.02
Li  0.2391  0.4781  0.2500  10 Au 2.73-3.02
Al  0.7672  0.7335  0.4996  7 Au 2.57-2.82
Al  0.9663  0.7335  0.0004  7 Au 2.57-2.82
Al  0.2328  0.2665  0.5004  7 Au 2.57-2.82
Al  0.0337  0.2665  0.9996  7 Au 2.57-2.82
Au  0.2338  0.0142  0.7769  2 Al 2.57, 2 Au 2.80-2.81
Au  0.7804  0.0142  0.7231  2 Al 2.57, 2 Au 2.80-2.81
Au  0.2792  0.7309  0.4969  3 Al 2.65-2.82, 2 Li 2.73-2.82, 1 Au 2.96
Au  0.4517  0.7309  0.0031  3 Al 2.65-2.82, 2 Li 2.73-2.82, 1 Au 2.96
Au  0.7423  0.4845  0.2500  4 Al 2.73-2.79, 2 Li 2.76, 4 Au 2.97-2.98
Au  0.2577  0.5155  0.7500  4 Al 2.73-2.79, 2 Li 2.76, 4 Au 2.97-2.98
Au  0.7208  0.2691  0.5031  3 Al 2.65-2.82, 2 Li 2.73-2.82, 1 Au 2.96
Au  0.5483  0.2691  0.9969  3 Al 2.65-2.82, 2 Li 2.73-2.82, 1 Au 2.96
Au  0.7662  0.9858  0.2231  2 Al 2.57, 2 Au 2.80-2.81
Au  0.2196  0.9858  0.2769  2 Al 2.57, 2 Au 2.80-2.81

The value obtained for the volume is 16.8 A^3/atom.

***

Preferred: run b; penalty for the next structure: 0.095 eV/atom.

***

Run a
Li4AlAu: relaxed, PBE-GGA.

Cell: 4.4905 5.2618 8.2601 Å, 71.39 90.00 90.00°
Last column: nearest neighbours and their distance in Å.
Fractional coordinates of all 12 atoms:
Li  0.2502  0.7966  0.4170  5 Li 2.58-2.68
Li  0.2500  0.9597  0.0835  5 Li 2.60-2.65, 2 Au 2.90
Li  0.7502  0.7135  0.5830  5 Li 2.58-2.68
Li  0.7500  0.5433  0.9165  5 Li 2.60-2.65, 2 Au 2.90
Li  0.7498  0.2034  0.5830  5 Li 2.58-2.68
Li  0.2498  0.2865  0.4170  5 Li 2.58-2.68
Li  0.7500  0.0403  0.9165  5 Li 2.60-2.65, 2 Au 2.90
Li  0.2500  0.4567  0.0835  5 Li 2.60-2.65, 2 Au 2.90
Al  0.7500  0.6237  0.2526  2 Au 2.63, 12 Li 2.91-2.94
Al  0.2500  0.3763  0.7474  2 Au 2.63, 12 Li 2.91-2.94
Au  0.7500  0.1255  0.2491  2 Al 2.63, 12 Li 2.90-2.92
Au  0.2500  0.8745  0.7509  2 Al 2.63, 12 Li 2.90-2.92

The value obtained for the volume is 15.4 A^3/atom.

***

Run b
Li4AlAu: relaxed, PBE-GGA.

Cell: 4.9526 4.9526 4.9526 Å, 60.00 60.00 60.00°
Last column: nearest neighbours and their distance in Å.
Fractional coordinates of all 6 atoms:
Li  0.8771  0.3743  0.3743  6 Li 2.46-2.49
Li  0.3743  0.3743  0.8771  6 Li 2.46-2.49
Li  0.3743  0.8771  0.3743  6 Li 2.46-2.49
Li  0.3743  0.3743  0.3743  6 Li 2.46-2.49
Al  0.7500  0.7500  0.7500  12 Li 2.91, 4 Au 3.03
Au  0.0000  0.0000  0.0000  12 Li 2.90, 4 Al 3.03

The value obtained for the volume is 14.3 A^3/atom.

***

Preferred: run a; penalty for the next structure: 0.194 eV/atom.

***

Run a
Li2AlSnAu: relaxed, PBE-GGA.

Cell: 5.1550 5.1188 5.1550 Å, 90.00 90.00 90.00°
Last column: nearest neighbours and their distance in Å.
Fractional coordinates of all 5 atoms:
Li  0.0000  0.0000  0.5000  2 Sn 2.58
Li  0.5000  0.0000  0.0000  2 Sn 2.58
Au  0.0000  0.5000  0.0000  2 Sn 2.56
Sn  0.0000  0.0000  0.0000  2 Au 2.56, 4 Li 2.58
Al  0.5000  0.5000  0.5000  8 Li 3.63, 4 Au 3.65

The value obtained for the volume is 27.2 A^3/atom.

***

Run b
Li2AlSnAu: relaxed, PBE-GGA.

Cell: 4.7932 5.2841 4.7932 Å, 90.00 90.00 90.00°
Last column: nearest neighbours and their distance in Å.
Fractional coordinates of all 5 atoms:
Li  0.0000  0.0000  0.5000  2 Au 2.40
Li  0.5000  0.0000  0.0000  2 Au 2.40
Au  0.0000  0.0000  0.0000  4 Li 2.40, 2 Sn 2.64
Sn  0.0000  0.5000  0.0000  2 Au 2.64
Al  0.5000  0.5000  0.5000  4 Sn 3.39, 8 Li 3.57

The value obtained for the volume is 24.3 A^3/atom.

***

Run c
Li2AlSnAu: relaxed, PBE-GGA.

Cell: 4.7730 4.8822 4.7730 Å, 90.00 90.00 90.00°
Last column: nearest neighbours and their distance in Å.
Fractional coordinates of all 5 atoms:
Li  0.0000  0.0000  0.5000  2 Au 2.39
Li  0.5000  0.0000  0.0000  2 Au 2.39
Au  0.0000  0.0000  0.0000  4 Li 2.39, 2 Al 2.44
Sn  0.5000  0.5000  0.5000  4 Al 3.37, 8 Li 3.41
Al  0.0000  0.5000  0.0000  2 Au 2.44

The value obtained for the volume is 22.2 A^3/atom.

***

Preferred: run c; penalty for the next structure: 0.194 eV/atom.

***

Run a
MgAl2Au3: relaxed, PBE-GGA.

Cell: 3.2702 3.2702 9.5866 Å, 90.00 90.00 90.00°
Last column: nearest neighbours and their distance in Å.
Fractional coordinates of all 6 atoms:
Mg  0.5000  0.5000  0.5000  8 Au 2.88, 2 Al 3.22
Al  0.5000  0.5000  0.8355  8 Au 2.75-2.80
Al  0.5000  0.5000  0.1645  8 Au 2.75-2.80
Au  0.0000  0.0000  0.0000  8 Al 2.80, 2 Au 3.07
Au  0.0000  0.0000  0.6799  4 Al 2.75, 4 Mg 2.88, 1 Au 3.07
Au  0.0000  0.0000  0.3201  4 Al 2.75, 4 Mg 2.88, 1 Au 3.07

The value obtained for the volume is 17.1 A^3/atom.

***

Run b
MgAl2Au3: relaxed, PBE-GGA.

Cell: 4.6904 7.2400 6.3805 Å, 90.00 89.99 70.55°
Last column: nearest neighbours and their distance in Å.
Fractional coordinates of all 12 atoms:
Mg  0.3328  0.3347  0.0000  8 Au 2.83-2.87
Mg  0.6672  0.6653  0.0000  8 Au 2.83-2.87
Al  0.0000  0.0000  0.0000  8 Au 2.76-2.88
Al  0.0000  0.0000  0.5000  8 Au 2.70-2.79
Al  0.3284  0.3410  0.5000  8 Au 2.75-2.81
Al  0.6716  0.6590  0.5000  8 Au 2.75-2.81
Au  0.8378  0.3249  0.7414  5 Al 2.70-2.81, 3 Mg 2.85-2.87
Au  0.4998  0.0000  0.2620  6 Al 2.78-2.88, 2 Mg 2.83, 1 Au 3.04
Au  0.1622  0.6751  0.2586  5 Al 2.70-2.81, 3 Mg 2.85-2.87
Au  0.8375  0.3249  0.2586  5 Al 2.70-2.81, 3 Mg 2.85-2.87
Au  0.1625  0.6751  0.7414  5 Al 2.70-2.81, 3 Mg 2.85-2.87
Au  0.5002  0.0000  0.7380  6 Al 2.78-2.88, 2 Mg 2.83, 1 Au 3.04

The value obtained for the volume is 17.0 A^3/atom.

***

Preferred: run b; penalty for the next structure: 0.006 eV/atom.